No. 1
# MnBeAs2Br

An optimized crystal structure of MnBeAs2Br (PBE-GGA, the Alexandria database).

Unit cell a=4.545 b=4.545 c=5.373 alpha=90.00 beta=90.00 gamma=90.00
Atoms (fractional coordinates):
Mn 0.000 0.000 0.000
Be 0.500 0.500 0.500
As 0.000 0.500 0.000
As 0.500 0.000 0.000
Br 0.000 0.000 0.500

polymorph energy (0 for the lowest one): 0.197 eV per atom
uncorrected formation energy: 0.7255 eV/atom

***

No. 2
# TbSnRu2

An optimized crystal structure of TbSnRu2 (PBE-GGA, the Alexandria database).

Unit cell a=4.679 b=4.679 c=4.679 alpha=60.00 beta=60.00 gamma=60.00
Atoms (fractional coordinates):
Tb 0.000 0.000 0.000
Sn 0.500 0.500 0.500
Ru 0.250 0.250 0.250
Ru 0.750 0.750 0.750

formation energy from the elements: -0.339 eV per atom

***

Number 1: final energy -4.048 eV/atom. Number 2: final energy -7.135 eV/atom.